The following is a GGA+U calculation of a geometry-optimized Zn3Co5O12 structure, from the Alexandria database.

Unit cell a=10.5707 b=10.5707 c=10.5707 alpha=109.47 beta=109.47 gamma=109.47
Last column: nearest neighbours and their distance in Å.
Fractional coordinates of all 80 atoms:
Zn (0.1250, 0.2500, 0.3750)  4 O 2.05
Zn (0.1250, 0.3750, 0.7500)  4 O 2.05
Zn (0.2500, 0.3750, 0.1250)  4 O 2.05
Zn (0.2500, 0.8750, 0.6250)  4 O 2.05
Zn (0.3750, 0.1250, 0.2500)  4 O 2.05
Zn (0.3750, 0.7500, 0.1250)  4 O 2.05
Zn (0.6250, 0.2500, 0.8750)  4 O 2.05
Zn (0.6250, 0.8750, 0.7500)  4 O 2.05
Zn (0.7500, 0.1250, 0.3750)  4 O 2.05
Zn (0.7500, 0.6250, 0.8750)  4 O 2.05
Zn (0.8750, 0.6250, 0.2500)  4 O 2.05
Zn (0.8750, 0.7500, 0.6250)  4 O 2.05
Co (0.0000, 0.0000, 0.0000)  6 O 1.85
Co (0.0000, 0.0000, 0.5000)  6 O 1.85
Co (0.0000, 0.5000, 0.0000)  6 O 1.85
Co (0.0000, 0.5000, 0.5000)  6 O 1.85
Co (0.1250, 0.7500, 0.8750)  4 O 1.87
Co (0.1250, 0.8750, 0.2500)  4 O 1.87
Co (0.2500, 0.1250, 0.8750)  4 O 1.87
Co (0.2500, 0.6250, 0.3750)  4 O 1.87
Co (0.3750, 0.2500, 0.6250)  4 O 1.87
Co (0.3750, 0.6250, 0.7500)  4 O 1.87
Co (0.5000, 0.0000, 0.0000)  6 O 1.85
Co (0.5000, 0.0000, 0.5000)  6 O 1.85
Co (0.5000, 0.5000, 0.0000)  6 O 1.85
Co (0.5000, 0.5000, 0.5000)  6 O 1.85
Co (0.6250, 0.3750, 0.2500)  4 O 1.87
Co (0.6250, 0.7500, 0.3750)  4 O 1.87
Co (0.7500, 0.3750, 0.6250)  4 O 1.87
Co (0.7500, 0.8750, 0.1250)  4 O 1.87
Co (0.8750, 0.1250, 0.7500)  4 O 1.87
Co (0.8750, 0.2500, 0.1250)  4 O 1.87
O (0.0044, 0.1641, 0.1413)  2 Co 1.85-1.87, 1 Zn 2.05
O (0.0044, 0.3403, 0.8630)  2 Co 1.85-1.87, 1 Zn 2.05
O (0.0228, 0.6641, 0.6597)  2 Co 1.85-1.87, 1 Zn 2.05
O (0.0228, 0.8587, 0.3630)  2 Co 1.85-1.87, 1 Zn 2.05
O (0.1370, 0.6413, 0.4772)  2 Co 1.85-1.87, 1 Zn 2.05
O (0.1370, 0.9956, 0.6597)  2 Co 1.85-1.87, 1 Zn 2.05
O (0.1413, 0.0044, 0.1641)  2 Co 1.85-1.87, 1 Zn 2.05
O (0.1413, 0.6370, 0.9772)  2 Co 1.85-1.87, 1 Zn 2.05
O (0.1597, 0.1641, 0.5228)  2 Co 1.85-1.87, 1 Zn 2.05
O (0.1597, 0.4956, 0.6370)  2 Co 1.85-1.87, 1 Zn 2.05
O (0.1641, 0.1413, 0.0044)  2 Co 1.85-1.87, 1 Zn 2.05
O (0.1641, 0.5228, 0.1597)  2 Co 1.85-1.87, 1 Zn 2.05
O (0.3359, 0.3403, 0.9772)  2 Co 1.85-1.87, 1 Zn 2.05
O (0.3359, 0.4956, 0.3587)  2 Co 1.85-1.87, 1 Zn 2.05
O (0.3403, 0.8630, 0.0044)  2 Co 1.85-1.87, 1 Zn 2.05
O (0.3403, 0.9772, 0.3359)  2 Co 1.85-1.87, 1 Zn 2.05
O (0.3587, 0.3359, 0.4956)  2 Co 1.85-1.87, 1 Zn 2.05
O (0.3587, 0.5228, 0.8630)  2 Co 1.85-1.87, 1 Zn 2.05
O (0.3630, 0.0228, 0.8587)  2 Co 1.85-1.87, 1 Zn 2.05
O (0.3630, 0.8403, 0.5044)  2 Co 1.85-1.87, 1 Zn 2.05
O (0.4772, 0.1370, 0.6413)  2 Co 1.85-1.87, 1 Zn 2.05
O (0.4772, 0.8403, 0.8359)  2 Co 1.85-1.87, 1 Zn 2.05
O (0.4956, 0.3587, 0.3359)  2 Co 1.85-1.87, 1 Zn 2.05
O (0.4956, 0.6370, 0.1597)  2 Co 1.85-1.87, 1 Zn 2.05
O (0.5044, 0.3630, 0.8403)  2 Co 1.85-1.87, 1 Zn 2.05
O (0.5044, 0.6413, 0.6641)  2 Co 1.85-1.87, 1 Zn 2.05
O (0.5228, 0.1597, 0.1641)  2 Co 1.85-1.87, 1 Zn 2.05
O (0.5228, 0.8630, 0.3587)  2 Co 1.85-1.87, 1 Zn 2.05
O (0.6370, 0.1597, 0.4956)  2 Co 1.85-1.87, 1 Zn 2.05
O (0.6370, 0.9772, 0.1413)  2 Co 1.85-1.87, 1 Zn 2.05
O (0.6413, 0.4772, 0.1370)  2 Co 1.85-1.87, 1 Zn 2.05
O (0.6413, 0.6641, 0.5044)  2 Co 1.85-1.87, 1 Zn 2.05
O (0.6597, 0.0228, 0.6641)  2 Co 1.85-1.87, 1 Zn 2.05
O (0.6597, 0.1370, 0.9956)  2 Co 1.85-1.87, 1 Zn 2.05
O (0.6641, 0.5044, 0.6413)  2 Co 1.85-1.87, 1 Zn 2.05
O (0.6641, 0.6597, 0.0228)  2 Co 1.85-1.87, 1 Zn 2.05
O (0.8359, 0.4772, 0.8403)  2 Co 1.85-1.87, 1 Zn 2.05
O (0.8359, 0.8587, 0.9956)  2 Co 1.85-1.87, 1 Zn 2.05
O (0.8403, 0.5044, 0.3630)  2 Co 1.85-1.87, 1 Zn 2.05
O (0.8403, 0.8359, 0.4772)  2 Co 1.85-1.87, 1 Zn 2.05
O (0.8587, 0.3630, 0.0228)  2 Co 1.85-1.87, 1 Zn 2.05
O (0.8587, 0.9956, 0.8359)  2 Co 1.85-1.87, 1 Zn 2.05
O (0.8630, 0.0044, 0.3403)  2 Co 1.85-1.87, 1 Zn 2.05
O (0.8630, 0.3587, 0.5228)  2 Co 1.85-1.87, 1 Zn 2.05
O (0.9772, 0.1413, 0.6370)  2 Co 1.85-1.87, 1 Zn 2.05
O (0.9772, 0.3359, 0.3403)  2 Co 1.85-1.87, 1 Zn 2.05
O (0.9956, 0.6597, 0.1370)  2 Co 1.85-1.87, 1 Zn 2.05
O (0.9956, 0.8359, 0.8587)  2 Co 1.85-1.87, 1 Zn 2.05

Output
* total moment: 58.489 Bohr magnetons per cell
* total energy: -5.219 eV per atom